Entry 1:
A relaxed NaInPd crystal. Source: Alexandria, functional GGA-PBE.

a = 4.443 Å, b = 4.443 Å, c = 7.237 Å
α = 90.00°, β = 90.00°, γ = 90.00°
Positions (direct):
Na: 0.250 0.250 0.176
Na: 0.750 0.750 0.824
In: 0.250 0.250 0.717
In: 0.750 0.750 0.283
Pd: 0.250 0.750 0.500
Pd: 0.750 0.250 0.500

formation enthalpy at 0 K	-0.305	eV/atom
D(E_F)	0.327	states/eV per atom
magnetic moment	0.00	μB/cell
space-group type	P4/nmm
volume	143	Å³/cell


Entry 2:
A relaxed K2MgNiGe crystal. Source: Alexandria, functional GGA-PBE.

a = 6.260 Å, b = 6.260 Å, c = 4.458 Å
α = 90.00°, β = 90.00°, γ = 90.00°
Positions (direct):
K: 0.000 0.500 0.000
K: 0.500 0.000 0.000
Mg: 0.000 0.000 0.500
Ni: 0.500 0.500 0.000
Ge: 0.500 0.500 0.500

formation enthalpy at 0 K	0.255	eV/atom
D(E_F)	1.071	states/eV per atom
magnetic moment	0.00	μB/cell
space-group type	P4/mmm
volume	175	Å³/cell


Entry 3:
A relaxed LiZnMo2C crystal. Source: Alexandria, functional GGA-PBE.

a = 4.286 Å, b = 4.286 Å, c = 3.676 Å
α = 90.00°, β = 90.00°, γ = 90.00°
Positions (direct):
Li: 0.000 0.000 0.000
Zn: 0.000 0.000 0.500
Mo: 0.000 0.500 0.000
Mo: 0.500 0.000 0.000
C: 0.500 0.500 0.500

formation enthalpy at 0 K	2.198	eV/atom
D(E_F)	0.955	states/eV per atom
magnetic moment	0.00	μB/cell
space-group type	P4/mmm
volume	68	Å³/cell


Entry 4:
A relaxed CdSnH2 crystal. Source: Alexandria, functional GGA-PBE.

a = 3.255 Å, b = 3.342 Å, c = 6.915 Å
α = 89.61°, β = 89.83°, γ = 65.62°
Positions (direct):
Cd: 0.000 0.000 0.000
Sn: 0.016 0.986 0.556
H: 0.004 0.998 0.280
H: 0.347 0.363 0.968

D(E_F)	0.182	states/eV per atom
magnetic moment	0.00	μB/cell
space-group type	P1
distance to the lowest polymorph of the same formula	197	meV/atom
volume	68	Å³/cell